# TaMn2Re, PBEsol geometry, DFT SCAN
# - DOS(E_F) (states/eV per cell) = 3.9
# - energy (eV/atom) = -43.578
# - V (Å³/atom) = 13.2
data_TaMn2Re
_chemical_formula_sum 'Ta1 Mn2 Re1'
_space_group_name_H-M_alt 'P 4/m m m'
_space_group_IT_number 123
_space_group_name_Hall '-P 4 2'
_cell_length_a 4.2276
_cell_length_b 4.2276
_cell_length_c 2.9513
_cell_angle_alpha 90.00
_cell_angle_beta 90.00
_cell_angle_gamma 90.00
loop_
_atom_site_label
_atom_site_fract_x
_atom_site_fract_y
_atom_site_fract_z
Ta1 0.0000 0.0000 0.0000
Mn1 0.0000 0.5000 0.5000
Re1 0.5000 0.5000 0.0000